A plane-wave DFT calculation with GGA+U was carried out for crystalline Li2AcV2O7 at its relaxed geometry.

abc: 5.498 5.498 8.571
angles: 71.29 71.29 60.00
Fractional coordinates of all 12 atoms:
O  0.000  0.000  0.000
O  0.808  0.410  0.697
O  0.410  0.085  0.697
O  0.085  0.808  0.697
O  0.192  0.915  0.303
O  0.590  0.192  0.303
O  0.915  0.590  0.303
V  0.076  0.076  0.773
V  0.924  0.924  0.227
Li  0.752  0.752  0.743
Li  0.248  0.248  0.257
Ac  0.500  0.500  0.500

DFT total energy = -85.22 eV for the cell shown
total magnetic moment = 1.000 μB/f.u.